No. 1
A crystal of In2NiBr relaxed with PBEsol, computed with SCAN.

Geometry as extended XYZ:
```
4
Lattice="-3.363 -0.420 -2.490 -2.354 -0.976 3.345 1.826 5.305 0.190" Properties=species:S:1:pos:R:3 pbc="T T T"
In -1.693 1.816 1.981
In -2.198 2.093 -0.936
Br 0.000 0.000 0.000
Ni -2.859 -0.698 0.428
```

## Properties
Calculated volume: 21.055 Å³/atom
Crystal system: tetragonal
Energy above the lowest structure with this stoichiometry: 0.0166 eV/atom
Spin magnetization: 1.01 Bohr magnetons per cell



No. 2
A crystal of InBrO3 relaxed with PBEsol, computed with SCAN.

Geometry as extended XYZ:
```
5
Lattice="-1.859 3.741 0.658 -0.014 -0.739 4.164 3.798 1.828 0.338" Properties=species:S:1:pos:R:3 pbc="T T T"
Br 0.963 2.415 2.579
In 0.000 0.000 0.000
O -0.929 1.870 0.329
O -0.007 -0.370 2.082
O 1.899 0.914 0.169
```

## Properties
Calculated volume: 15.123 Å³/atom
Crystal system: cubic
Raw total energy: -14.292 eV/atom
Spin magnetization: 4.00 Bohr magnetons per cell



No. 3
A crystal of InPbBr2O relaxed with PBEsol, computed with SCAN.

Geometry as extended XYZ:
```
5
Lattice="3.781 0.000 0.000 0.000 5.978 0.000 0.000 0.000 5.978" Properties=species:S:1:pos:R:3 pbc="T T T"
Br 0.000 2.989 0.000
Br 0.000 0.000 2.989
In 1.890 0.000 0.000
O 0.000 0.000 0.000
Pb 1.890 2.989 2.989
```

## Properties
Calculated volume: 27.026 Å³/atom
Crystal system: tetragonal
Raw total energy: -31.223 eV/atom
Spin magnetization: 0.00 Bohr magnetons per cell



No. 4
A crystal of In2OsBr relaxed with PBEsol, computed with SCAN.

Geometry as extended XYZ:
```
4
Lattice="2.995 0.000 0.000 0.000 4.556 0.000 -1.497 -2.278 6.346" Properties=species:S:1:pos:R:3 pbc="T T T"
Br 0.000 2.278 0.000
In 1.497 2.278 4.007
In 0.000 0.000 2.340
Os 1.497 0.000 0.000
```

## Properties
Calculated volume: 21.647 Å³/atom
Crystal system: orthorhombic
Energy above the lowest structure with this stoichiometry: 0.5007 eV/atom
Spin magnetization: 0.00 Bohr magnetons per cell



No. 5
A crystal of In2OsBr relaxed with PBEsol, computed with SCAN.

Geometry as extended XYZ:
```
4
Lattice="-2.261 0.180 2.328 2.340 -0.063 2.277 0.417 7.941 -0.207" Properties=species:S:1:pos:R:3 pbc="T T T"
In 1.297 2.391 1.075
In 1.459 5.487 0.994
Br 0.039 0.058 2.303
Os -0.922 4.060 1.060
```

## Properties
Calculated volume: 21.107 Å³/atom
Crystal system: orthorhombic
Energy above the lowest structure with this stoichiometry: 0.0000 eV/atom
Spin magnetization: 0.00 Bohr magnetons per cell



No. 6
A crystal of InPBr2 relaxed with PBEsol, computed with SCAN.

Geometry as extended XYZ:
```
4
Lattice="-3.148 -1.888 -2.142 -2.022 -1.426 4.229 -2.015 5.386 -1.787" Properties=species:S:1:pos:R:3 pbc="T T T"
In -2.541 3.911 0.288
P -3.389 1.793 -0.815
Br -4.046 0.695 1.118
Br -0.234 0.348 0.037
```

## Properties
Calculated volume: 29.016 Å³/atom
Crystal system: monoclinic
Energy above the lowest structure with this stoichiometry: 0.0000 eV/atom
Spin magnetization: 0.00 Bohr magnetons per cell